Material: Ac2Zn6PtRh
Method: DFT, PBE
State: relaxed

Output
Density   8339 kg/m3
Energy   -3.29 eV per atom
Formation energy from the elements   -0.37 eV/atom
DOS at the Fermi energy   0.82 states/eV per atom

CIF file:
```
data_Ac2Zn6PtRh
_symmetry_space_group_name_H-M 'I m m m'
_symmetry_Int_Tables_number 71
_symmetry_space_group_name_Hall '-I 2 2'
_cell_length_a 6.8546
_cell_length_b 6.8664
_cell_length_c 9.6839
_cell_angle_alpha 90.00
_cell_angle_beta 90.00
_cell_angle_gamma 90.00
loop_
_atom_site_label
_atom_site_fract_x
_atom_site_fract_y
_atom_site_fract_z
Ac1 0.0000 0.0000 0.2501
Zn1 0.0000 0.5000 0.2480
Zn2 0.2480 0.2519 0.0000
Pt1 0.0000 0.5000 0.5000
Rh1 0.0000 0.5000 0.0000
```